# 1
AcNd3Ge2 | the Alexandria database | PBE | relaxed; space group = No. 12; formation enthalpy at 0 K = -0.536 eV per atom; mass density = 7.3 g/cm³
1.0
4.580 0.000 0.000
-2.290 10.195 -0.569
0.000 -5.163 8.085
Ge Nd Ac
4 6 2
direct
0.233 0.465 0.761
0.489 0.978 0.843
0.511 0.022 0.157
0.767 0.535 0.239
0.050 0.100 0.407
0.950 0.900 0.593
0.350 0.699 0.176
0.309 0.617 0.500
0.691 0.383 0.500
0.650 0.301 0.824
0.117 0.234 0.097
0.883 0.766 0.903

=====

# 2
HfSc2H8 | the Alexandria database | PBE | relaxed; energy = -4.9712 eV per atom; space group = No. 71; mass density = 5.8 g/cm³
1.0
-3.117 0.063 0.918
-1.253 2.116 -4.396
1.526 -5.498 -0.196
H Sc Hf
8 2 1
direct
0.341 0.580 0.683
0.157 0.157 0.315
0.843 0.843 0.685
0.659 0.897 0.317
0.000 0.735 0.000
0.659 0.420 0.317
0.000 0.265 0.000
0.341 0.103 0.683
0.170 0.670 0.340
0.830 0.330 0.660
0.500 0.000 0.000

=====

# 3
Dy5CuSb2 | the Alexandria database | PBE | relaxed; space group = No. 63; ΔE_f (raw) = -30 kJ/mol of atoms; mass density = 7.7 g/cm³
1.0
-3.146 -4.232 2.436
0.381 -0.134 -6.664
11.231 -7.888 0.800
Sb Cu Dy
4 2 10
direct
0.806 0.611 0.092
0.194 0.389 0.908
0.194 0.389 0.592
0.806 0.611 0.408
0.235 0.471 0.250
0.765 0.529 0.750
0.621 0.243 0.569
0.379 0.757 0.431
0.621 0.243 0.931
0.064 0.128 0.391
0.936 0.872 0.609
0.637 0.275 0.250
0.064 0.128 0.109
0.936 0.872 0.891
0.363 0.725 0.750
0.379 0.757 0.069

=====

# 4
NpGa4Ge | the Alexandria database | PBE | relaxed; space group = No. 216; formation enthalpy at 0 K = 0.085 eV per atom; mass density = 8.4 g/cm³
1.0
5.480 0.000 0.000
2.740 4.746 0.000
2.740 1.582 4.474
Ge Ga Np
1 4 1
direct
0.250 0.250 0.250
0.625 0.625 0.625
0.625 0.126 0.625
0.126 0.625 0.625
0.625 0.625 0.126
0.000 0.000 0.000

=====

# 5
Mn2SiNi | the Alexandria database | PBE | relaxed; space group = No. 99; ΔE_f (raw) = -22 kJ/mol of atoms; mass density = 7.2 g/cm³
1.0
-1.184 0.743 -2.311
-2.358 -0.961 0.900
-1.330 5.587 2.478
Ni Si Mn
1 1 2
direct
0.000 0.000 0.527
0.500 0.500 0.747
0.000 0.000 0.988
0.500 0.500 0.238

=====

# 6
Pr3OsAu | the Alexandria database | PBE | relaxed; space group = No. 14; formation enthalpy at 0 K = -0.314 eV per atom; mass density = 9.4 g/cm³
1.0
7.468 0.000 0.000
0.000 8.327 -2.955
0.000 0.543 9.015
Pr Au Os
12 4 4
direct
0.319 0.508 0.155
0.009 0.789 0.459
0.681 0.492 0.845
0.509 0.711 0.541
0.819 0.992 0.845
0.352 0.097 0.769
0.852 0.403 0.231
0.181 0.008 0.155
0.148 0.597 0.769
0.991 0.211 0.541
0.648 0.903 0.231
0.491 0.289 0.459
0.039 0.314 0.911
0.539 0.186 0.089
0.461 0.814 0.911
0.961 0.686 0.089
0.820 0.520 0.564
0.320 0.980 0.436
0.180 0.480 0.436
0.680 0.020 0.564

=====

# 7
Li2PaOsO6 | the Alexandria database | PBE | relaxed; space group = No. 148; ΔE_f (raw) = -214 kJ/mol of atoms; mass density = 7.4 g/cm³
1.0
-2.371 -2.945 -3.618
2.749 -3.531 -2.712
-0.892 -5.643 1.393
O Pa Li Os
6 1 2 1
direct
0.684 0.065 0.828
0.423 0.684 0.828
0.948 0.567 0.275
0.567 0.209 0.275
0.209 0.948 0.275
0.065 0.423 0.828
0.816 0.816 0.552
0.611 0.611 0.166
0.021 0.021 0.937
0.316 0.316 0.052

=====

# 8
LiAc2FeH6 | the Alexandria database | PBE | relaxed; energy = -4.2088 eV per atom; space group = No. 71; mass density = 7.5 g/cm³
1.0
-2.536 -4.266 2.297
4.828 -1.923 1.702
0.784 -1.117 5.298
H Ac Fe Li
6 2 1 1
direct
0.726 0.274 0.000
0.727 0.727 0.546
0.273 0.273 0.000
0.273 0.273 0.454
0.727 0.727 0.000
0.274 0.726 0.000
0.250 0.750 0.500
0.750 0.250 0.500
0.500 0.500 0.000
0.000 0.000 0.000

=====

# 9
BaSr2 | the Alexandria database | PBE | relaxed; excess energy over the best structure of this formula in the dataset = 5 meV/atom; space group = No. 139; formation enthalpy at 0 K = 0.008 eV per atom; mass density = 3.0 g/cm³
1.0
-6.414 -3.199 -6.447
-0.788 -4.922 -8.252
3.309 1.441 8.940
Ba Sr
1 2
direct
0.500 0.500 0.000
0.170 0.170 0.000
0.830 0.830 0.000

=====

# 10
Ag2HgIr | the Alexandria database | PBE | relaxed; space group = No. 119; formation enthalpy at 0 K = 0.376 eV per atom; mass density = 14.3 g/cm³
1.0
4.899 -0.042 0.000
1.197 4.751 0.000
-3.048 -2.355 3.028
Hg Ir Ag
1 1 2
direct
0.500 0.500 0.000
0.750 0.250 0.500
0.000 0.000 0.000
0.250 0.750 0.500

=====

# 11
AcScTl2 | the Alexandria database | PBE | relaxed; space group = No. 123; formation enthalpy at 0 K = -0.289 eV per atom; mass density = 9.8 g/cm³
1.0
3.804 0.000 0.000
0.000 3.804 0.000
0.000 0.000 7.977
Ac Sc Tl
1 1 2
direct
0.500 0.500 0.500
0.500 0.500 0.000
0.000 0.000 0.790
0.000 0.000 0.210

=====

# 12
K3Tm2MgTe6 | the Alexandria database | PBE | relaxed; space group = No. 12; ΔE_f (raw) = -111 kJ/mol of atoms; mass density = 5.0 g/cm³
1.0
-7.421 1.545 -0.258
3.125 -2.560 6.420
2.991 8.204 0.320
Mg Te Tm K
1 6 2 3
direct
0.000 0.000 0.000
0.738 0.738 0.205
0.398 0.068 0.204
0.602 0.932 0.796
0.068 0.398 0.204
0.932 0.602 0.796
0.262 0.262 0.795
0.666 0.334 0.000
0.334 0.666 0.000
0.832 0.168 0.500
0.500 0.500 0.500
0.168 0.832 0.500

=====

# 13
Ho2AlZn | the Alexandria database | PBE | relaxed; excess energy over the best structure of this formula in the dataset = 539 meV/atom; space group = No. 166; formation enthalpy at 0 K = 0.156 eV per atom; mass density = 6.5 g/cm³
1.0
-2.968 1.675 0.316
-2.211 -0.886 2.457
2.869 7.154 7.544
Zn Ho Al
1 2 1
direct
0.000 0.000 0.000
0.904 0.904 0.287
0.096 0.096 0.713
0.500 0.500 0.500

=====

# 14
TmAlPd | the Alexandria database | PBE | relaxed; space group = No. 107; formation enthalpy at 0 K = -0.709 eV per atom; mass density = 8.7 g/cm³
1.0
3.277 0.000 0.000
0.000 3.277 0.000
-1.638 -1.638 5.377
Al Tm Pd
1 1 1
direct
0.644 0.644 0.288
0.945 0.945 0.889
0.261 0.261 0.523

=====

# 15
AlSiMo | the Alexandria database | PBE | relaxed; space group = No. 216; ΔE_f (raw) = 31 kJ/mol of atoms; mass density = 4.8 g/cm³
1.0
-0.019 -3.767 1.852
-1.602 -3.319 -2.010
2.541 -3.037 -1.394
Mo Al Si
1 1 1
direct
0.750 0.750 0.750
0.500 0.500 0.500
0.000 0.000 0.000

=====

# 16
Ce3Al6Pd20 | the Alexandria database | PBE | relaxed; space group = No. 225; formation enthalpy at 0 K = -0.748 eV per atom; mass density = 9.2 g/cm³
1.0
7.651 0.000 4.417
2.550 7.214 4.417
0.000 0.000 8.835
Pd Al Ce
20 6 3
direct
0.344 0.656 0.000
0.656 0.000 0.344
0.621 0.621 0.621
0.000 0.344 0.000
0.379 0.379 0.379
0.344 0.000 0.656
0.863 0.379 0.379
0.379 0.379 0.863
0.344 0.000 0.000
0.000 0.000 0.344
0.000 0.656 0.344
0.137 0.621 0.621
0.656 0.000 0.000
0.621 0.621 0.137
0.656 0.344 0.000
0.000 0.656 0.000
0.000 0.344 0.656
0.621 0.137 0.621
0.379 0.863 0.379
0.000 0.000 0.656
0.274 0.274 0.726
0.726 0.726 0.274
0.274 0.726 0.726
0.274 0.726 0.274
0.726 0.274 0.274
0.726 0.274 0.726
0.750 0.750 0.750
0.250 0.250 0.250
0.000 0.000 0.000